A plane-wave DFT calculation with PBEsol was carried out for a relaxed La2MgSi crystal.

a = 4.6709 Å, b = 4.6709 Å, c = 6.1476 Å
α = 67.67°, β = 67.67°, γ = 60.00°
Last column: nearest neighbours and their distance in Å.
Sites, in units of the cell vectors:
La 0.9818 0.9818 0.0546  3 Mg 3.18, 3 Si 3.31, 4 La 3.39-3.46
La 0.7728 0.7728 0.6817  3 Si 3.11, 3 Mg 3.23, 4 La 3.39-3.46
Mg 0.5463 0.5463 0.3612  3 Si 2.71
Si 0.1992 0.1992 0.4025  3 Mg 2.71

Space group   No. 160
Energy relative to the elements, uncorrected   -0.229 eV per atom
Electronic total energy   -19.1 eV for the cell shown

A plane-wave DFT calculation with PBEsol was carried out for a relaxed LaMgSi2 crystal.

a = 4.2734 Å, b = 4.2734 Å, c = 18.6420 Å
α = 96.58°, β = 96.58°, γ = 90.00°
Last column: nearest neighbours and their distance in Å.
Sites, in units of the cell vectors:
La 0.8271 0.3271 0.6542  10 Si 3.13-3.27
La 0.5771 0.5771 0.1542  10 Si 3.13-3.27
La 0.6729 0.1729 0.3458  10 Si 3.13-3.27
La 0.4229 0.4229 0.8458  10 Si 3.13-3.27
Mg 0.9999 0.4999 0.9998  4 Si 2.76-2.77, 4 Mg 3.02
Mg 0.5001 0.0001 0.0002  4 Si 2.76-2.77, 4 Mg 3.02
Mg 0.7499 0.7499 0.4998  4 Si 2.76-2.77, 4 Mg 3.02
Mg 0.2501 0.2501 0.5002  4 Si 2.76-2.77, 4 Mg 3.02
Si 0.3608 0.8608 0.7215  3 Si 2.32-2.38
Si 0.1392 0.6392 0.2785  3 Si 2.32-2.38
Si 0.2023 0.7023 0.4046  1 Si 2.32
Si 0.2977 0.7977 0.5954  1 Si 2.32
Si 0.8892 0.8892 0.7785  3 Si 2.32-2.38
Si 0.1108 0.1108 0.2215  3 Si 2.32-2.38
Si 0.0477 0.0477 0.0954  1 Si 2.32
Si 0.9523 0.9523 0.9046  1 Si 2.32

Space group   No. 141
Energy relative to the elements, uncorrected   -0.620 eV per atom
Electronic total energy   -84.2 eV for the cell shown